(1)
## LaThOsI (PBE)

Data for a geometry-optimized LaThOsI structure.

Calculated values
D(E_F)   1.3 states/eV/f.u.
Space-group type   R3m, No. 160
Raw formation energy   -0.704 eV per atom
E_tot   -6.99 eV/atom
Calculated density   8.9 Mg/m³

Cell: 8.669 8.669 8.669 Å, 28.13 28.13 28.13°
Positions (direct):
La 0.000 0.000 0.000
Th 0.786 0.786 0.786
Os 0.398 0.398 0.398
I 0.226 0.226 0.226

---

(2)
## LaTi2OsI (PBE)

Data for a geometry-optimized LaTi2OsI structure.

Calculated values
D(E_F)   6.6 states/eV/f.u.
Space-group type   P4/mmm, No. 123
Raw formation energy   0.960 eV per atom
E_tot   -5.74 eV/atom
Calculated density   7.4 Mg/m³

Cell: 4.959 4.959 5.039 Å, 90.00 90.00 90.00°
Positions (direct):
La 0.000 0.000 0.000
Ti 0.000 0.500 0.500
Ti 0.500 0.000 0.500
Os 0.500 0.500 0.000
I 0.500 0.500 0.500

---

(3)
## La3PI7 (PBE)

Data for a geometry-optimized La3PI7 structure.

Calculated values
Space-group type   P3m1, No. 156
Raw formation energy   -1.316 eV per atom
E_tot   -4.14 eV/atom
Calculated density   3.9 Mg/m³

Cell: 9.359 9.359 7.467 Å, 90.00 90.00 120.00°
Positions (direct):
La 0.010 0.505 0.000
La 0.495 0.505 0.000
La 0.495 0.990 0.000
P 0.333 0.667 0.846
I 0.174 0.347 0.249
I 0.174 0.826 0.249
I 0.344 0.172 0.771
I 0.653 0.826 0.249
I 0.667 0.333 0.251
I 0.828 0.172 0.771
I 0.828 0.656 0.771

---

(4)
## La2P2I (PBE)

Data for a geometry-optimized La2P2I structure.

Calculated values
D(E_F)   2.0 states/eV/f.u.
Space-group type   P4/mbm, No. 127
Raw formation energy   -1.229 eV per atom
E_tot   -5.67 eV/atom
Calculated density   5.4 Mg/m³

Cell: 8.440 8.440 4.002 Å, 90.00 90.00 90.00°
Positions (direct):
La 0.163 0.337 0.000
La 0.337 0.837 0.000
La 0.663 0.163 0.000
La 0.837 0.663 0.000
P 0.095 0.595 0.500
P 0.405 0.095 0.500
P 0.595 0.905 0.500
P 0.905 0.405 0.500
I 0.000 0.000 0.000
I 0.500 0.500 0.000

---

(5)
## La3PI2 (PBE)

Data for a geometry-optimized La3PI2 structure.

Calculated values
D(E_F)   4.0 states/eV/f.u.
Energy above the lowest structure with this stoichiometry   0.000 eV per atom
Space-group type   Immm, No. 71
Raw formation energy   -1.259 eV per atom
E_tot   -5.14 eV/atom
Calculated density   6.0 Mg/m³

Cell: 8.222 8.222 8.222 Å, 150.10 135.32 54.69°
Positions (direct):
La 0.000 0.000 0.000
La 0.371 0.371 0.000
La 0.629 0.629 0.000
P 0.500 0.000 0.500
I 0.180 0.680 0.500
I 0.820 0.320 0.500

---

(6)
## La4P12I (PBE)

Data for a geometry-optimized La4P12I structure.

Calculated values
D(E_F)   8.3 states/eV/f.u.
Space-group type   Im-3, No. 204
Raw formation energy   -0.556 eV per atom
E_tot   -5.63 eV/atom
Calculated density   3.9 Mg/m³

Cell: 8.354 8.354 8.354 Å, 109.47 109.47 109.47°
Positions (direct):
La 0.000 0.000 0.500
La 0.000 0.500 0.000
La 0.500 0.000 0.000
La 0.500 0.500 0.500
P 0.114 0.499 0.385
P 0.114 0.730 0.615
P 0.270 0.385 0.886
P 0.385 0.114 0.499
P 0.385 0.886 0.270
P 0.499 0.385 0.114
P 0.501 0.615 0.886
P 0.615 0.114 0.730
P 0.615 0.886 0.501
P 0.730 0.615 0.114
P 0.886 0.270 0.385
P 0.886 0.501 0.615
I 0.000 0.000 0.000

---

(7)
## La2PI2 (PBE)

Data for a geometry-optimized La2PI2 structure.

Calculated values
D(E_F)   1.6 states/eV/f.u.
Space-group type   P-3m1, No. 164
Raw formation energy   -1.604 eV per atom
E_tot   -5.28 eV/atom
Calculated density   4.9 Mg/m³

Cell: 4.343 4.343 11.576 Å, 90.00 90.00 120.00°
Positions (direct):
La 0.333 0.667 0.361
La 0.667 0.333 0.639
P 0.000 0.000 0.500
I 0.333 0.667 0.823
I 0.667 0.333 0.177

---

(8)
## La6P3I2 (PBE)

Data for a geometry-optimized La6P3I2 structure.

Calculated values
D(E_F)   8.4 states/eV/f.u.
Space-group type   C2/m, No. 12
Raw formation energy   -1.317 eV per atom
E_tot   -5.76 eV/atom
Calculated density   5.4 Mg/m³

Cell: 7.422 7.422 7.952 Å, 99.02 99.02 119.93°
Positions (direct):
La 0.097 0.425 0.794
La 0.229 0.229 0.201
La 0.425 0.097 0.794
La 0.575 0.903 0.206
La 0.771 0.771 0.799
La 0.903 0.575 0.206
P 0.171 0.829 0.000
P 0.500 0.500 0.000
P 0.829 0.171 0.000
I 0.335 0.665 0.500
I 0.665 0.335 0.500